A plane-wave DFT calculation with PBE was carried out for K2FeSb after structural relaxation.

Cell: 5.155 5.155 5.140 Å, 90.00 90.00 112.58°
Sites, in units of the cell vectors:
K 0.000 0.500 0.000
K 0.500 0.000 0.000
Fe 0.000 0.000 0.500
Sb 0.500 0.500 0.500

Output
Raw formation energy ... 0.46 eV/atom
ρ ... 3.37 g cm⁻³
Symmetry ... Cmmm (65)
Total energy ... -3.2366 eV per atom


A plane-wave DFT calculation with PBE was carried out for K2FeSb after structural relaxation.

Cell: 6.360 6.360 6.360 Å, 135.79 122.91 74.93°
Sites, in units of the cell vectors:
K 0.000 0.000 0.000
K 0.688 0.188 0.500
Fe 0.371 0.371 0.000
Sb 0.295 0.795 0.500

Output
Raw formation energy ... 0.13 eV/atom
ρ ... 2.89 g cm⁻³
Symmetry ... Imm2 (44)
Total energy ... -3.5623 eV per atom


A plane-wave DFT calculation with PBE was carried out for K2FeSb after structural relaxation.

Cell: 3.729 3.729 10.231 Å, 90.00 90.00 90.00°
Sites, in units of the cell vectors:
K 0.000 0.000 0.000
K 0.500 0.500 0.403
Fe 0.500 0.500 0.726
Sb 0.000 0.000 0.665

Output
Raw formation energy ... 0.25 eV/atom
ρ ... 2.99 g cm⁻³
Symmetry ... P4mm (99)
Total energy ... -3.4478 eV per atom


A plane-wave DFT calculation with PBE was carried out for KFeSb2 after structural relaxation.

Cell: 3.255 3.255 8.726 Å, 90.00 90.00 90.00°
Sites, in units of the cell vectors:
K 0.000 0.000 0.000
Fe 0.000 0.000 0.500
Sb 0.500 0.500 0.320
Sb 0.500 0.500 0.680

Output
Raw formation energy ... -0.01 eV/atom
Distance to the lowest polymorph of the same formula ... 53 meV/atom
ρ ... 6.08 g cm⁻³
Symmetry ... P4/mmm (123)
Total energy ... -4.4567 eV per atom


A plane-wave DFT calculation with PBE was carried out for KFe2Sb after structural relaxation.

Cell: 9.457 9.457 9.457 Å, 151.17 151.17 41.23°
Sites, in units of the cell vectors:
K 0.375 0.625 0.750
K 0.625 0.375 0.250
Fe 0.000 0.000 0.000
Fe 0.000 0.000 0.500
Fe 0.000 0.500 0.000
Fe 0.500 0.000 0.500
Sb 0.125 0.875 0.250
Sb 0.875 0.125 0.750

Output
Raw formation energy ... 0.91 eV/atom
Distance to the lowest polymorph of the same formula ... 707 meV/atom
ρ ... 4.61 g cm⁻³
Symmetry ... I4_1/amd (141)
Total energy ... -4.6232 eV per atom


A plane-wave DFT calculation with PBE was carried out for K2FeSb after structural relaxation.

Cell: 5.011 5.555 7.095 Å, 90.00 92.00 90.00°
Sites, in units of the cell vectors:
K 0.244 0.000 0.242
K 0.756 0.000 0.758
Fe 0.000 0.500 0.000
Sb 0.500 0.500 0.000

Output
Raw formation energy ... 0.29 eV/atom
ρ ... 2.15 g cm⁻³
Symmetry ... P2/m (10)
Total energy ... -3.4036 eV per atom


| no. | magnetic moment (μB per cell) |
| --- | --- |
| 1 | 3.259 |
| 2 | 3.000 |
| 3 | 2.555 |
| 4 | 1.073 |
| 5 | 0.002 |
| 6 | 3.022 |